A relaxed Pr2Y2Ho3 crystal. Source: the Alexandria database, functional PBE-GGA.

Summary:
The formation energy comes out at 21.4 kJ per mole of atoms. The calculation puts the spin magnetization at 0.00 μB/atom.

POSCAR file:
```
Pr2Y2Ho3
1.0
-4.9009 4.9009 4.9009
4.9009 -4.9009 4.9009
4.9009 4.9009 -4.9009
Pr Y Ho
4 4 6
Cartesian
6.4409 -1.5400 1.5400
1.5400 6.4409 -1.5400
3.3610 3.3610 3.3610
-1.5400 1.5400 6.4409
4.4773 0.4237 -0.4237
0.4237 0.4237 0.4237
0.4237 -0.4237 4.4773
-0.4237 4.4773 0.4237
7.3514 1.8958 0.0000
3.0052 0.0000 2.4505
2.4505 3.0052 0.0000
0.0000 2.4505 3.0052
1.8958 0.0000 7.3514
0.0000 7.3514 1.8958
```